Entry 1:
Material: KCu2N
Method: DFT, meta-GGA SCAN
State: PBEsol geometry

The structure in POSCAR format:
```
KCu2N
1.0
5.9373 0.0000 0.0000
2.9687 5.1419 0.0000
2.9687 1.7140 4.8478
Cu N K
4 2 2
Direct
0.1250 0.1250 0.6250
0.1250 0.6250 0.1250
0.6250 0.1250 0.1250
0.1250 0.1250 0.1250
0.0000 0.0000 0.0000
0.2500 0.2500 0.2500
0.5000 0.5000 0.5000
0.7500 0.7500 0.7500
```

Summary:
DOS at the Fermi energy: 0.00 states/eV/cell
formation energy without anion corrections: -0.049 eV per atom
calculated volume: 148.00 Å³ per cell
calculated density: 4.04 g/cm³



Entry 2:
Material: K3NaCu
Method: DFT, meta-GGA SCAN
State: PBEsol geometry

The structure in POSCAR format:
```
K3NaCu
1.0
6.3527 0.0000 0.0000
0.0000 6.3527 0.0000
0.0000 0.0000 6.3527
K Cu Na
3 1 1
Direct
0.0000 0.5000 0.0000
0.5000 0.0000 0.0000
0.0000 0.0000 0.5000
0.0000 0.0000 0.0000
0.5000 0.5000 0.5000
```

Summary:
DOS at the Fermi energy: 3.21 states/eV/cell
E_form: 0.258 eV per atom
calculated volume: 256.37 Å³ per cell
energy relative to the lowest polymorph listed for this composition: 0.0 kJ/mol of atoms
calculated density: 1.32 g/cm³



Entry 3:
Material: KNaCuSi4O10
Method: DFT, meta-GGA SCAN
State: PBEsol geometry

The structure in POSCAR format:
```
KNaCuSi4O10
1.0
-3.2411 5.4402 2.9663
-4.8669 -4.7672 -4.1773
2.3694 -5.0850 8.0584
O Si K Cu Na
20 8 2 2 2
Direct
0.0567 0.8067 0.9421
0.2060 0.9487 0.2396
0.7940 0.0513 0.7604
0.6340 0.8228 0.4739
0.4618 0.6711 0.6547
0.5765 0.8936 0.2324
0.3218 0.3941 0.7668
0.1306 0.2545 0.3396
0.9433 0.1933 0.0579
0.6782 0.6059 0.2332
0.0897 0.5641 0.7030
0.4235 0.1064 0.7676
0.8694 0.7455 0.6604
0.2815 0.5510 0.2427
0.5384 0.2217 0.0602
0.4616 0.7783 0.9398
0.7185 0.4490 0.7573
0.5382 0.3289 0.3453
0.3660 0.1772 0.5261
0.9103 0.4359 0.2970
0.3089 0.1692 0.3551
0.9363 0.6475 0.7764
0.6568 0.3890 0.2224
0.3432 0.6110 0.7776
0.0637 0.3525 0.2236
0.4624 0.2823 0.7088
0.5376 0.7177 0.2912
0.6911 0.8308 0.6449
0.8258 0.2056 0.5004
0.1742 0.7944 0.4996
0.3276 0.8627 0.0858
0.6724 0.1373 0.9142
0.1682 0.1266 0.9099
0.8318 0.8734 0.0901
```

Summary:
DOS at the Fermi energy: 0.00 states/eV/cell
formation energy without anion corrections: -2.641 eV per atom
calculated volume: 459.79 Å³ per cell
calculated density: 2.87 g/cm³



Entry 4:
Material: KNaCu2Pb
Method: DFT, meta-GGA SCAN
State: PBEsol geometry

The structure in POSCAR format:
```
KNaCu2Pb
1.0
-3.3261 1.5693 -3.4277
-3.7318 -2.0187 2.6969
-0.6618 5.3595 3.0959
Na Pb Cu K
1 1 2 1
Direct
0.5000 0.5000 0.5000
0.0000 0.0000 0.0000
0.0000 0.5000 0.0000
0.5000 0.0000 0.0000
0.0000 0.0000 0.5000
```

Summary:
DOS at the Fermi energy: 1.36 states/eV/cell
E_form: 0.467 eV per atom
calculated volume: 157.33 Å³ per cell
calculated density: 4.18 g/cm³